Record 1
Ba2Be2AlO6: optimized geometry, PBE.

abc: 5.4308 5.4308 16.2072
angles: 90.00 90.00 120.00
Space group R-3m (No. 166, hexagonal axes)
One atom of each set of equivalent atoms:
Ba: 0.0000 0.0000 0.2248
Be: 0.0000 0.0000 0.4081
Al: 0.0000 0.0000 0.0000
O: 0.0036 0.5018 0.2627

Output
- VASP energy (eV/atom) = -6.624
- ΔE_f (raw) (eV/f.u.) = -28.07
- M_tot (μB per cell) = 2.73
- Fermi-level density of states (states/eV/cell) = 21.8

=====

Record 2
Pr12AlCo6: optimized geometry, PBE.

abc: 10.0568 10.0568 10.0568
angles: 90.00 90.00 90.00
Space group Im-3 (No. 204)
One atom of each set of equivalent atoms:
Pr: 0.0000 0.1916 0.3045
Al: 0.0000 0.0000 0.0000
Co: 0.0000 0.3892 0.5000

Output
- DFT formation energy (eV per atom) = -0.08
- VASP energy (eV/atom) = -5.544
- M_tot (μB per cell) = 0.01
- Fermi-level density of states (states/eV/cell) = 31.3

=====

Record 3
Dy2Al3Si4: optimized geometry, PBE.

abc: 5.7694 14.6423 7.7645
angles: 90.00 90.00 90.00
Space group Cmce (No. 64)
One atom of each set of equivalent atoms:
Dy: 0.0000 0.1134 0.0820
Al: 0.0000 0.0000 0.5000
Al: 0.2500 0.2171 0.7500
Si: 0.0000 0.1853 0.4506
Si: 0.2500 0.0469 0.7500

Output
- VASP energy (eV/atom) = -5.053
- ΔE_f (raw) (eV/f.u.) = -3.35
- M_tot (μB per cell) = 0.00
- Fermi-level density of states (states/eV/cell) = 14.3

=====

Record 4
Sm2AlSi2Rh5: optimized geometry, PBE.

abc: 9.8447 9.8447 3.4600
angles: 90.00 90.00 90.00
Space group P4/mbm (No. 127)
One atom of each set of equivalent atoms:
Sm: 0.1755 0.3245 0.0000
Al: 0.0000 0.0000 0.0000
Si: 0.1232 0.6232 0.0000
Rh: 0.0000 0.5000 0.5000
Rh: 0.0671 0.7877 0.5000

Output
- VASP energy (eV/atom) = -7.004
- ΔE_f (raw) (eV/f.u.) = -9.26
- M_tot (μB per cell) = 0.00
- Fermi-level density of states (states/eV/cell) = 6.3

=====

Record 5
NbCdBO5: optimized geometry, PBE.

abc: 6.5765 8.4189 7.4037
angles: 90.00 115.68 90.00
Space group C2/c (No. 15)
One atom of each set of equivalent atoms:
Nb: 0.0000 0.0000 0.0000
Cd: 0.0000 0.3429 0.2500
B: 0.0000 0.3160 0.7500
O: 0.0000 0.0852 0.2500
O: 0.0922 0.2139 0.6374
O: 0.1774 0.4257 0.8936

Output
- VASP energy (eV/atom) = -7.386
- ΔE_f (raw) (eV/f.u.) = -16.63
- M_tot (μB per cell) = 0.00
- Fermi-level density of states (states/eV/cell) = 0.0

=====

Record 6
Ba3SmP2N6: optimized geometry, PBE.

abc: 6.0388 6.0388 7.3476
angles: 90.00 90.00 120.00
Space group P-3m1 (No. 164)
One atom of each set of equivalent atoms:
Ba: 0.0000 0.0000 0.0000
Ba: 0.3333 0.6667 0.6969
Sm: 0.0000 0.0000 0.5000
P: 0.3333 0.6667 0.2633
N: 0.1816 0.3632 0.2932

Output
- VASP energy (eV/atom) = -6.850
- ΔE_f (raw) (eV/f.u.) = -10.94
- M_tot (μB per cell) = 0.39
- Fermi-level density of states (states/eV/cell) = 3.0

=====

Record 7
LaCe2Ho: optimized geometry, PBE.

abc: 3.4956 3.4956 34.7646
angles: 90.00 90.00 120.00
Space group R-3m (No. 166, hexagonal axes)
One atom of each set of equivalent atoms:
La: 0.0000 0.0000 0.0000
Ce: 0.0000 0.0000 0.2491
Ho: 0.0000 0.0000 0.5000

Output
- DFT formation energy (eV per atom) = 0.10
- VASP energy (eV/atom) = -5.245
- M_tot (μB per cell) = 3.96
- Fermi-level density of states (states/eV/cell) = 33.7
- polymorph energy (0 for the lowest one) (meV per atom) = 0

=====

Record 8
CaCd2Pb: optimized geometry, PBE.

abc: 4.6801 4.6801 4.8134
angles: 90.00 90.00 90.00
Space group P4/mmm (No. 123)
One atom of each set of equivalent atoms:
Ca: 0.0000 0.0000 0.0000
Cd: 0.0000 0.5000 0.5000
Pb: 0.5000 0.5000 0.0000

Output
- DFT formation energy (eV per atom) = -0.27
- VASP energy (eV/atom) = -2.154
- M_tot (μB per cell) = 0.00
- Fermi-level density of states (states/eV/cell) = 2.4

=====

Record 9
UBeRu: optimized geometry, PBE.

abc: 3.8084 3.8084 21.9254
angles: 90.00 90.00 120.00
Space group R-3m (No. 166, hexagonal axes)
One atom of each set of equivalent atoms:
U: 0.0000 0.0000 0.2017
Be: 0.0000 0.0000 0.3411
Ru: 0.0000 0.0000 0.0585

Output
- DFT formation energy (eV per atom) = -0.16
- VASP energy (eV/atom) = -8.255
- M_tot (μB per cell) = 0.00
- Fermi-level density of states (states/eV/cell) = 15.8

=====

Record 10
La2SbP3Rh12: optimized geometry, PBE.

abc: 8.1036 8.1036 17.7796
angles: 90.00 90.00 120.00
Space group R-3m (No. 166, hexagonal axes)
One atom of each set of equivalent atoms:
La: 0.0000 0.0000 0.1048
Sb: 0.0000 0.0000 0.5000
P: 0.0000 0.5000 0.0000
Rh: 0.0152 0.5076 0.8728
Rh: 0.0422 0.5211 0.3621

Output
- VASP energy (eV/atom) = -6.868
- ΔE_f (raw) (eV/f.u.) = -5.20
- M_tot (μB per cell) = 0.00
- Fermi-level density of states (states/eV/cell) = 29.7

=====

Record 11
LiAlP2: optimized geometry, PBE.

abc: 10.1104 3.5094 3.7216
angles: 90.00 109.95 90.00
Space group Cm (No. 8)
One atom of each set of equivalent atoms:
Li: 0.0000 0.0000 0.0000
Al: 0.2201 0.5000 0.4715
P: 0.2729 0.0000 0.0320
P: 0.4799 0.0000 0.4910

Output
- DFT formation energy (eV per atom) = -0.26
- VASP energy (eV/atom) = -4.381
- M_tot (μB per cell) = 0.00
- Fermi-level density of states (states/eV/cell) = 2.5

=====

Record 12
LaBr2NCl: optimized geometry, PBE.

abc: 5.8882 5.8882 5.5702
angles: 90.00 90.00 90.00
Space group P4/mmm (No. 123)
One atom of each set of equivalent atoms:
La: 0.0000 0.0000 0.0000
Br: 0.0000 0.5000 0.0000
N: 0.5000 0.5000 0.5000
Cl: 0.0000 0.0000 0.5000

Output
- VASP energy (eV/atom) = -4.303
- ΔE_f (raw) (eV/f.u.) = -3.07
- M_tot (μB per cell) = 3.00
- Fermi-level density of states (states/eV/cell) = 0.0

=====

- VASP energy of number 12 (LaBr2NCl)?
  -4.303 eV/atom

=====

- Fermi-level density of states of number 6 (Ba3SmP2N6)?
  3.0 states/eV/cell